Density functional theory data (GGA-PBE) for crystalline Dy4In3Cu at its relaxed geometry.

Summary:
- Fermi-level density of states: 4.5 states/eV/f.u.
- Magnetic moment: 0.0 μB per cell
- Formation enthalpy at 0 K: -0.416 eV/atom
- SG: P4/mmm, No. 123

abc: 3.524 3.524 16.214
angles: 90.00 90.00 90.00
Atoms (fractional coordinates):
In  0.500  0.500  0.764
In  0.500  0.500  0.236
In  0.500  0.500  0.500
Cu  0.500  0.500  0.000
Dy  0.000  0.000  0.105
Dy  0.000  0.000  0.895
Dy  0.000  0.000  0.632
Dy  0.000  0.000  0.368